# 1
LiRh2W | PBE | relaxed

Computed properties:
DFT formation energy in eV per atom: -0.0242

Structure (CIF):
```
data_LiRh2W
_chemical_formula_sum 'Li2 Rh4 W2'
_cell_length_a 2.941
_cell_length_b 4.560
_cell_length_c 8.741
_cell_angle_alpha 90.00
_cell_angle_beta 90.00
_cell_angle_gamma 90.00
_symmetry_space_group_name_H-M 'P 1'
_symmetry_Int_Tables_number 1
loop_
_symmetry_equiv_pos_as_xyz
'x,y,z'
loop_
_atom_site_label
_atom_site_type_symbol
_atom_site_fract_x
_atom_site_fract_y
_atom_site_fract_z
Li1 Li 0.000 0.000 0.000
Li2 Li 0.500 0.500 0.000
Rh1 Rh 0.000 0.500 0.248
Rh2 Rh 0.000 0.500 0.752
Rh3 Rh 0.500 0.000 0.248
Rh4 Rh 0.500 0.000 0.752
W1 W 0.000 0.000 0.500
W2 W 0.500 0.500 0.500
```

# 2
Li2RhW | PBE | relaxed

Computed properties:
Energy relative to the lowest polymorph listed for this composition in eV/atom: 0.0221
DFT formation energy in eV per atom: 0.1444

Structure (CIF):
```
data_Li2RhW
_chemical_formula_sum 'Li8 Rh4 W4'
_cell_length_a 6.015
_cell_length_b 6.015
_cell_length_c 6.015
_cell_angle_alpha 90.00
_cell_angle_beta 90.00
_cell_angle_gamma 90.00
_symmetry_space_group_name_H-M 'P 1'
_symmetry_Int_Tables_number 1
loop_
_symmetry_equiv_pos_as_xyz
'x,y,z'
loop_
_atom_site_label
_atom_site_type_symbol
_atom_site_fract_x
_atom_site_fract_y
_atom_site_fract_z
Li1 Li 0.000 0.000 0.000
Li2 Li 0.000 0.500 0.500
Li3 Li 0.250 0.250 0.250
Li4 Li 0.250 0.750 0.750
Li5 Li 0.500 0.000 0.500
Li6 Li 0.500 0.500 0.000
Li7 Li 0.750 0.250 0.750
Li8 Li 0.750 0.750 0.250
Rh1 Rh 0.000 0.000 0.500
Rh2 Rh 0.000 0.500 0.000
Rh3 Rh 0.500 0.000 0.000
Rh4 Rh 0.500 0.500 0.500
W1 W 0.250 0.250 0.750
W2 W 0.250 0.750 0.250
W3 W 0.750 0.250 0.250
W4 W 0.750 0.750 0.750
```

# 3
Li2RhW | PBE | relaxed

Computed properties:
Energy relative to the lowest polymorph listed for this composition in eV/atom: 0.0399
DFT formation energy in eV per atom: 0.1622

Structure (CIF):
```
data_Li2RhW
_chemical_formula_sum 'Li4 Rh2 W2'
_cell_length_a 8.708
_cell_length_b 2.710
_cell_length_c 5.033
_cell_angle_alpha 90.00
_cell_angle_beta 97.62
_cell_angle_gamma 90.00
_symmetry_space_group_name_H-M 'P 1'
_symmetry_Int_Tables_number 1
loop_
_symmetry_equiv_pos_as_xyz
'x,y,z'
loop_
_atom_site_label
_atom_site_type_symbol
_atom_site_fract_x
_atom_site_fract_y
_atom_site_fract_z
Li1 Li 0.000 0.000 0.000
Li2 Li 0.244 0.000 0.805
Li3 Li 0.500 0.500 0.000
Li4 Li 0.744 0.500 0.805
Rh1 Rh 0.232 0.500 0.303
Rh2 Rh 0.732 0.000 0.303
W1 W 0.486 0.000 0.483
W2 W 0.986 0.500 0.483
```

# 4
LiRhW4 | PBE | relaxed

Computed properties:
DFT formation energy in eV per atom: 0.5447

Structure (CIF):
```
data_LiRhW4
_chemical_formula_sum 'Li1 Rh1 W4'
_cell_length_a 5.236
_cell_length_b 5.236
_cell_length_c 5.236
_cell_angle_alpha 60.00
_cell_angle_beta 60.00
_cell_angle_gamma 60.00
_symmetry_space_group_name_H-M 'P 1'
_symmetry_Int_Tables_number 1
loop_
_symmetry_equiv_pos_as_xyz
'x,y,z'
loop_
_atom_site_label
_atom_site_type_symbol
_atom_site_fract_x
_atom_site_fract_y
_atom_site_fract_z
Li1 Li 0.000 0.000 0.000
Rh1 Rh 0.250 0.250 0.250
W1 W 0.121 0.626 0.626
W2 W 0.626 0.121 0.626
W3 W 0.626 0.626 0.121
W4 W 0.626 0.626 0.626
```

# 5
Li2RhW | PBE | relaxed

Computed properties:
Energy relative to the lowest polymorph listed for this composition in eV/atom: 0.0000
DFT formation energy in eV per atom: 0.1223

Structure (CIF):
```
data_Li2RhW
_chemical_formula_sum 'Li4 Rh2 W2'
_cell_length_a 2.980
_cell_length_b 4.526
_cell_length_c 9.261
_cell_angle_alpha 90.00
_cell_angle_beta 90.00
_cell_angle_gamma 90.00
_symmetry_space_group_name_H-M 'P 1'
_symmetry_Int_Tables_number 1
loop_
_symmetry_equiv_pos_as_xyz
'x,y,z'
loop_
_atom_site_label
_atom_site_type_symbol
_atom_site_fract_x
_atom_site_fract_y
_atom_site_fract_z
Li1 Li 0.000 0.000 0.000
Li2 Li 0.000 0.500 0.279
Li3 Li 0.500 0.000 0.279
Li4 Li 0.500 0.500 0.000
Rh1 Rh 0.000 0.000 0.508
Rh2 Rh 0.500 0.500 0.508
W1 W 0.000 0.500 0.742
W2 W 0.500 0.000 0.742
```

# 6
LiRh2W | PBE | relaxed

Computed properties:
DFT formation energy in eV per atom: -0.0644

Structure (CIF):
```
data_LiRh2W
_chemical_formula_sum 'Li1 Rh2 W1'
_cell_length_a 2.736
_cell_length_b 4.038
_cell_length_c 5.142
_cell_angle_alpha 90.00
_cell_angle_beta 90.00
_cell_angle_gamma 90.00
_symmetry_space_group_name_H-M 'P 1'
_symmetry_Int_Tables_number 1
loop_
_symmetry_equiv_pos_as_xyz
'x,y,z'
loop_
_atom_site_label
_atom_site_type_symbol
_atom_site_fract_x
_atom_site_fract_y
_atom_site_fract_z
Li1 Li 0.000 0.000 0.000
Rh1 Rh 0.000 0.000 0.494
Rh2 Rh 0.500 0.500 0.182
W1 W 0.500 0.500 0.714
```

# 7
Li2RhW | PBE | relaxed

Computed properties:
Energy relative to the lowest polymorph listed for this composition in eV/atom: 0.1563
DFT formation energy in eV per atom: 0.2786

Structure (CIF):
```
data_Li2RhW
_chemical_formula_sum 'Li2 Rh1 W1'
_cell_length_a 3.589
_cell_length_b 3.589
_cell_length_c 4.565
_cell_angle_alpha 90.00
_cell_angle_beta 90.00
_cell_angle_gamma 90.00
_symmetry_space_group_name_H-M 'P 1'
_symmetry_Int_Tables_number 1
loop_
_symmetry_equiv_pos_as_xyz
'x,y,z'
loop_
_atom_site_label
_atom_site_type_symbol
_atom_site_fract_x
_atom_site_fract_y
_atom_site_fract_z
Li1 Li 0.000 0.500 0.000
Li2 Li 0.500 0.000 0.000
Rh1 Rh 0.000 0.000 0.500
W1 W 0.500 0.500 0.500
```

# 8
Li2RhW | PBE | relaxed

Computed properties:
Energy relative to the lowest polymorph listed for this composition in eV/atom: 0.6666
DFT formation energy in eV per atom: 0.7889

Structure (CIF):
```
data_Li2RhW
_chemical_formula_sum 'Li8 Rh4 W4'
_cell_length_a 6.814
_cell_length_b 6.814
_cell_length_c 4.938
_cell_angle_alpha 90.00
_cell_angle_beta 90.00
_cell_angle_gamma 90.00
_symmetry_space_group_name_H-M 'P 1'
_symmetry_Int_Tables_number 1
loop_
_symmetry_equiv_pos_as_xyz
'x,y,z'
loop_
_atom_site_label
_atom_site_type_symbol
_atom_site_fract_x
_atom_site_fract_y
_atom_site_fract_z
Li1 Li 0.229 0.750 0.125
Li2 Li 0.250 0.229 0.875
Li3 Li 0.250 0.271 0.375
Li4 Li 0.271 0.750 0.625
Li5 Li 0.729 0.250 0.625
Li6 Li 0.750 0.729 0.375
Li7 Li 0.750 0.771 0.875
Li8 Li 0.771 0.250 0.125
Rh1 Rh 0.000 0.000 0.000
Rh2 Rh 0.000 0.500 0.250
Rh3 Rh 0.500 0.000 0.750
Rh4 Rh 0.500 0.500 0.500
W1 W 0.000 0.000 0.500
W2 W 0.000 0.500 0.750
W3 W 0.500 0.000 0.250
W4 W 0.500 0.500 0.000
```

# 9
LiRh2W | PBE | relaxed

Computed properties:
DFT formation energy in eV per atom: 0.0126

Structure (CIF):
```
data_LiRh2W
_chemical_formula_sum 'Li2 Rh4 W2'
_cell_length_a 8.381
_cell_length_b 2.736
_cell_length_c 4.980
_cell_angle_alpha 90.00
_cell_angle_beta 95.61
_cell_angle_gamma 90.00
_symmetry_space_group_name_H-M 'P 1'
_symmetry_Int_Tables_number 1
loop_
_symmetry_equiv_pos_as_xyz
'x,y,z'
loop_
_atom_site_label
_atom_site_type_symbol
_atom_site_fract_x
_atom_site_fract_y
_atom_site_fract_z
Li1 Li 0.000 0.000 0.000
Li2 Li 0.500 0.500 0.000
Rh1 Rh 0.250 0.000 0.759
Rh2 Rh 0.250 0.500 0.241
Rh3 Rh 0.750 0.000 0.241
Rh4 Rh 0.750 0.500 0.759
W1 W 0.000 0.500 0.500
W2 W 0.500 0.000 0.500
```

# 10
LiRh9W2 | PBE | relaxed

Computed properties:
DFT formation energy in eV per atom: -0.2086

Structure (CIF):
```
data_LiRh9W2
_chemical_formula_sum 'Li1 Rh9 W2'
_cell_length_a 3.859
_cell_length_b 3.859
_cell_length_c 11.484
_cell_angle_alpha 90.00
_cell_angle_beta 90.00
_cell_angle_gamma 90.00
_symmetry_space_group_name_H-M 'P 1'
_symmetry_Int_Tables_number 1
loop_
_symmetry_equiv_pos_as_xyz
'x,y,z'
loop_
_atom_site_label
_atom_site_type_symbol
_atom_site_fract_x
_atom_site_fract_y
_atom_site_fract_z
Li1 Li 0.000 0.000 0.000
Rh1 Rh 0.000 0.500 0.167
Rh2 Rh 0.000 0.500 0.500
Rh3 Rh 0.000 0.500 0.833
Rh4 Rh 0.500 0.000 0.167
Rh5 Rh 0.500 0.000 0.500
Rh6 Rh 0.500 0.000 0.833
Rh7 Rh 0.500 0.500 0.000
Rh8 Rh 0.500 0.500 0.335
Rh9 Rh 0.500 0.500 0.665
W1 W 0.000 0.000 0.325
W2 W 0.000 0.000 0.675
```

# 11
LiRh2W | PBE | relaxed

Computed properties:
DFT formation energy in eV per atom: -0.1034

Structure (CIF):
```
data_LiRh2W
_chemical_formula_sum 'Li2 Rh4 W2'
_cell_length_a 4.817
_cell_length_b 2.777
_cell_length_c 8.878
_cell_angle_alpha 90.00
_cell_angle_beta 100.59
_cell_angle_gamma 90.00
_symmetry_space_group_name_H-M 'P 1'
_symmetry_Int_Tables_number 1
loop_
_symmetry_equiv_pos_as_xyz
'x,y,z'
loop_
_atom_site_label
_atom_site_type_symbol
_atom_site_fract_x
_atom_site_fract_y
_atom_site_fract_z
Li1 Li 0.000 0.000 0.000
Li2 Li 0.500 0.500 0.000
Rh1 Rh 0.084 0.500 0.750
Rh2 Rh 0.250 0.500 0.251
Rh3 Rh 0.584 0.000 0.750
Rh4 Rh 0.750 0.000 0.251
W1 W 0.167 0.000 0.501
W2 W 0.667 0.500 0.501
```

# 12
LiRh2W | PBE | relaxed

Computed properties:
DFT formation energy in eV per atom: 0.4490

Structure (CIF):
```
data_LiRh2W
_chemical_formula_sum 'Li2 Rh4 W2'
_cell_length_a 2.676
_cell_length_b 4.743
_cell_length_c 10.006
_cell_angle_alpha 90.00
_cell_angle_beta 90.00
_cell_angle_gamma 90.00
_symmetry_space_group_name_H-M 'P 1'
_symmetry_Int_Tables_number 1
loop_
_symmetry_equiv_pos_as_xyz
'x,y,z'
loop_
_atom_site_label
_atom_site_type_symbol
_atom_site_fract_x
_atom_site_fract_y
_atom_site_fract_z
Li1 Li 0.000 0.000 0.000
Li2 Li 0.500 0.500 0.500
Rh1 Rh 0.000 0.000 0.265
Rh2 Rh 0.000 0.000 0.735
Rh3 Rh 0.500 0.500 0.235
Rh4 Rh 0.500 0.500 0.765
W1 W 0.000 0.000 0.500
W2 W 0.500 0.500 0.000
```